1.
! BBrNF2 | Alexandria via LeMat-Bulk | PBE | relaxed; values from VASP
! - Size of the total moment: 0.0 μB/f.u.
! - Fermi-level density of states: 1.198 states/eV per cell
! - Relative energy among the computed polymorphs: 0.0000 eV per atom
! - Crystal system: tetragonal
! - Raw formation energy: 0.79 eV per formula unit
&SYSTEM
  ibrav = 0, nat = 5, ntyp = 4
/
ATOMIC_SPECIES
Br 79.90 Br.upf
N 14.01 N.upf
F 19.00 F.upf
B 10.81 B.upf
ATOMIC_POSITIONS angstrom
Br 1.6455 1.6455 2.2920
N 0.0000 0.0000 2.2920
F 1.6455 0.0000 0.0000
F 0.0000 1.6455 0.0000
B 0.0000 0.0000 0.0000
CELL_PARAMETERS angstrom
3.2910 0.0000 0.0000
0.0000 3.2910 0.0000
0.0000 0.0000 4.5840

***

2.
! BBrN2F | Alexandria via LeMat-Bulk | PBE | relaxed; values from VASP
! - Size of the total moment: 0.0 μB/f.u.
! - Fermi-level density of states: 2.382 states/eV per cell
! - Relative energy among the computed polymorphs: 0.0000 eV per atom
! - Crystal system: tetragonal
! - Raw formation energy: 5.67 eV per formula unit
&SYSTEM
  ibrav = 0, nat = 5, ntyp = 4
/
ATOMIC_SPECIES
Br 79.90 Br.upf
N 14.01 N.upf
B 10.81 B.upf
F 19.00 F.upf
ATOMIC_POSITIONS angstrom
Br -1.5904 -2.6174 -0.2066
N -1.7621 -0.1409 -0.3423
N 0.3305 -1.3490 -1.1458
B 0.0000 0.0000 0.0000
F -0.1587 -1.1274 1.2815
CELL_PARAMETERS angstrom
-3.5242 -0.2819 -0.6845
0.6609 -2.6981 -2.2917
-0.3175 -2.2547 2.5630

***

3.
! BBrO2F | Alexandria via LeMat-Bulk | PBE | relaxed; values from VASP
! - Size of the total moment: 0.0 μB/f.u.
! - Fermi-level density of states: 2.798 states/eV per cell
! - Crystal system: tetragonal
! - Raw formation energy: 0.24 eV per formula unit
&SYSTEM
  ibrav = 0, nat = 5, ntyp = 4
/
ATOMIC_SPECIES
F 19.00 F.upf
Br 79.90 Br.upf
B 10.81 B.upf
O 16.00 O.upf
ATOMIC_POSITIONS angstrom
F 1.5795 -0.0106 0.6873
Br 0.5850 -0.6303 2.9630
B 0.0000 0.0000 0.0000
O -0.6139 0.9318 1.4250
O -0.3806 -1.5516 0.8507
CELL_PARAMETERS angstrom
-1.2278 1.8637 2.8500
-0.7611 -3.1031 1.7013
3.1590 -0.0211 1.3747

***

4.
! BBrO2F | Alexandria via LeMat-Bulk | PBE | relaxed; values from VASP
! - Size of the total moment: 0.0 μB/f.u.
! - Fermi-level density of states: 1.604 states/eV per cell
! - Crystal system: tetragonal
! - Raw formation energy: 5.04 eV per formula unit
&SYSTEM
  ibrav = 0, nat = 5, ntyp = 4
/
ATOMIC_SPECIES
F 19.00 F.upf
O 16.00 O.upf
Br 79.90 Br.upf
B 10.81 B.upf
ATOMIC_POSITIONS angstrom
F 0.0000 0.0000 2.7481
O 1.8807 0.0000 0.0000
O 0.0000 1.8807 0.0000
Br 0.0000 0.0000 0.0000
B 1.8807 1.8807 2.7481
CELL_PARAMETERS angstrom
3.7615 0.0000 0.0000
0.0000 3.7615 0.0000
0.0000 0.0000 5.4962

***

5.
! BOs2BrF | Alexandria via LeMat-Bulk | PBE | relaxed; values from VASP
! - Size of the total moment: 3.4 μB/f.u.
! - Fermi-level density of states: 5.946 states/eV per cell
! - Crystal system: tetragonal
! - Raw formation energy: 11.24 eV per formula unit
&SYSTEM
  ibrav = 0, nat = 5, ntyp = 4
/
ATOMIC_SPECIES
Br 79.90 Br.upf
Os 190.23 Os.upf
B 10.81 B.upf
F 19.00 F.upf
ATOMIC_POSITIONS angstrom
Br 0.0000 2.7625 0.0000
Os 2.0388 0.0000 0.0000
Os 0.0000 0.0000 2.0388
B 2.0388 2.7625 2.0388
F 0.0000 0.0000 0.0000
CELL_PARAMETERS angstrom
4.0777 0.0000 0.0000
0.0000 5.5250 0.0000
0.0000 0.0000 4.0777

***

6.
! BPbBrF4 | Alexandria via LeMat-Bulk | PBE | relaxed; values from VASP
! - Size of the total moment: 0.0 μB/f.u.
! - Fermi-level density of states: 0.000 states/eV per cell
! - Crystal system: monoclinic
! - Raw formation energy: -16.48 eV per formula unit
&SYSTEM
  ibrav = 0, nat = 14, ntyp = 4
/
ATOMIC_SPECIES
F 19.00 F.upf
B 10.81 B.upf
Pb 207.20 Pb.upf
Br 79.90 Br.upf
ATOMIC_POSITIONS angstrom
F 3.2202 -8.1922 1.7275
F 4.6353 -9.8616 0.9235
F 2.6337 -10.4419 1.9026
F 1.8920 -3.7033 -1.0349
F 1.8871 -4.7625 1.0350
F 2.6386 -9.3828 -0.1673
F 1.3055 -5.9531 -0.8598
F -0.1097 -4.2837 -0.0558
B 1.2579 -4.7239 -0.2284
B 3.2677 -9.4214 1.0961
Pb 1.3279 -8.6848 -2.4333
Pb 3.1978 -5.4605 3.3010
Br 0.8862 -1.3113 1.0346
Br 3.6394 -12.8340 -0.1670
CELL_PARAMETERS angstrom
-2.7420 -5.9750 -0.4346
3.6993 -4.1075 -3.5850
3.5684 -4.0628 4.8873

***

7.
! BSBrF2 | Alexandria via LeMat-Bulk | PBE | relaxed; values from VASP
! - Size of the total moment: 0.0 μB/f.u.
! - Fermi-level density of states: 1.009 states/eV per cell
! - Crystal system: tetragonal
! - Raw formation energy: -1.69 eV per formula unit
&SYSTEM
  ibrav = 0, nat = 5, ntyp = 4
/
ATOMIC_SPECIES
S 32.06 S.upf
Br 79.90 Br.upf
B 10.81 B.upf
F 19.00 F.upf
ATOMIC_POSITIONS angstrom
S 0.0000 2.3151 0.0000
Br 1.8132 2.3151 1.8132
B 0.0000 0.0000 0.0000
F 0.0000 0.0000 1.8132
F 1.8132 0.0000 0.0000
CELL_PARAMETERS angstrom
3.6264 0.0000 0.0000
0.0000 4.6303 0.0000
0.0000 0.0000 3.6264

***

8.
! B2SbBrF | Alexandria via LeMat-Bulk | PBE | relaxed; values from VASP
! - Size of the total moment: 0.0 μB/f.u.
! - Fermi-level density of states: 3.592 states/eV per cell
! - Crystal system: tetragonal
! - Raw formation energy: 8.80 eV per formula unit
&SYSTEM
  ibrav = 0, nat = 5, ntyp = 4
/
ATOMIC_SPECIES
B 10.81 B.upf
F 19.00 F.upf
Sb 121.76 Sb.upf
Br 79.90 Br.upf
ATOMIC_POSITIONS angstrom
B -0.6891 1.8922 -0.4605
B -1.9463 -0.6524 0.2317
F -2.7360 0.4697 -3.2428
Sb -0.1006 -0.7701 -3.0140
Br 0.0000 0.0000 0.0000
CELL_PARAMETERS angstrom
-1.3782 3.7845 -0.9210
-0.2012 -1.5403 -6.0280
-3.8926 -1.3048 0.4634

***

9.
! SrBBrF4 | Alexandria via LeMat-Bulk | PBE | relaxed; values from VASP
! - Size of the total moment: 0.0 μB/f.u.
! - Fermi-level density of states: 0.000 states/eV per cell
! - Crystal system: monoclinic
! - Raw formation energy: -20.63 eV per formula unit
&SYSTEM
  ibrav = 0, nat = 14, ntyp = 4
/
ATOMIC_SPECIES
F 19.00 F.upf
Br 79.90 Br.upf
B 10.81 B.upf
Sr 87.62 Sr.upf
ATOMIC_POSITIONS angstrom
F 7.8176 4.1240 6.2445
F 6.7481 4.7828 4.3078
F 3.9571 2.8047 3.6744
F 6.4807 6.0102 6.2445
F 4.2244 1.5773 1.7377
F 2.8876 3.4635 1.7377
F 5.5179 3.9109 6.0693
F 5.1872 3.6766 1.9128
Br 9.6180 6.8169 6.3972
Br 1.0872 0.7706 1.5850
B 6.6375 4.7044 5.7271
B 4.0677 2.8831 2.2551
Sr 3.4492 2.4447 6.0634
Sr 7.2560 5.1428 1.9188
CELL_PARAMETERS angstrom
6.3733 0.1728 0.2754
2.2741 5.9562 0.2754
2.0577 1.4585 7.4313

***

10.
! YB2BrF | Alexandria via LeMat-Bulk | PBE | relaxed; values from VASP
! - Size of the total moment: 0.0 μB/f.u.
! - Fermi-level density of states: 2.329 states/eV per cell
! - Crystal system: tetragonal
! - Raw formation energy: 3.54 eV per formula unit
&SYSTEM
  ibrav = 0, nat = 5, ntyp = 4
/
ATOMIC_SPECIES
Br 79.90 Br.upf
F 19.00 F.upf
B 10.81 B.upf
Y 88.91 Y.upf
ATOMIC_POSITIONS angstrom
Br 0.0000 0.0000 0.0000
F -0.7576 -1.7819 1.4938
B 0.2086 1.2478 1.5943
B -1.9239 0.6213 -0.2346
Y -2.4729 0.0873 2.8535
CELL_PARAMETERS angstrom
-3.8478 1.2427 -0.4691
-1.5152 -3.5638 2.9875
0.4172 2.4956 3.1887

***

11.
! FeB3Br | Alexandria via LeMat-Bulk | PBE | relaxed; values from VASP
! - Size of the total moment: 2.8 μB/f.u.
! - Fermi-level density of states: 3.758 states/eV per cell
! - Relative energy among the computed polymorphs: 1.3812 eV per atom
! - Crystal system: cubic
! - Raw formation energy: 13.57 eV per formula unit
&SYSTEM
  ibrav = 0, nat = 5, ntyp = 3
/
ATOMIC_SPECIES
B 10.81 B.upf
Fe 55.84 Fe.upf
Br 79.90 Br.upf
ATOMIC_POSITIONS angstrom
B 0.0000 2.0375 0.0000
B 2.0375 0.0000 0.0000
B 0.0000 0.0000 2.0375
Fe 2.0375 2.0375 2.0375
Br 0.0000 0.0000 0.0000
CELL_PARAMETERS angstrom
4.0751 0.0000 0.0000
0.0000 4.0751 0.0000
0.0000 0.0000 4.0751

***

12.
! FeB2Br8 | Alexandria via LeMat-Bulk | PBE | relaxed; values from VASP
! - Size of the total moment: 4.0 μB/f.u.
! - Fermi-level density of states: 3.487 states/eV per cell
! - Crystal system: monoclinic
! - Raw formation energy: -4.54 eV per formula unit
&SYSTEM
  ibrav = 0, nat = 11, ntyp = 3
/
ATOMIC_SPECIES
Fe 55.84 Fe.upf
B 10.81 B.upf
Br 79.90 Br.upf
ATOMIC_POSITIONS angstrom
Fe 0.0000 0.0000 0.0000
B -0.4175 -2.2714 -2.3067
B -4.3271 -5.8059 -7.1782
Br -5.1979 -5.8174 -2.3229
Br 0.4534 -2.2598 -7.1621
Br -5.5764 -4.4066 -6.3497
Br 0.8319 -3.6706 -3.1353
Br -3.1940 -1.0109 -7.4184
Br -2.5686 -5.6123 -6.3041
Br -1.5505 -7.0663 -2.0665
Br -2.1759 -2.4650 -3.1809
CELL_PARAMETERS angstrom
-2.6543 1.5036 -7.1604
3.4629 -4.1314 -2.5352
-5.5531 -5.4494 0.2107

***

Please write out number 3 again, unchanged.
! BBrO2F | Alexandria via LeMat-Bulk | PBE | relaxed; values from VASP
! - Size of the total moment: 0.0 μB/f.u.
! - Fermi-level density of states: 2.798 states/eV per cell
! - Crystal system: tetragonal
! - Raw formation energy: 0.24 eV per formula unit
&SYSTEM
  ibrav = 0, nat = 5, ntyp = 4
/
ATOMIC_SPECIES
F 19.00 F.upf
Br 79.90 Br.upf
B 10.81 B.upf
O 16.00 O.upf
ATOMIC_POSITIONS angstrom
F 1.5795 -0.0106 0.6873
Br 0.5850 -0.6303 2.9630
B 0.0000 0.0000 0.0000
O -0.6139 0.9318 1.4250
O -0.3806 -1.5516 0.8507
CELL_PARAMETERS angstrom
-1.2278 1.8637 2.8500
-0.7611 -3.1031 1.7013
3.1590 -0.0211 1.3747